(1)
# Ce3Pu4Os4 | Alexandria via LeMat-Bulk | PBE | relaxed
# energy of formation	0.07	eV/atom
# magnetic moment	0.0	Bohr magnetons per cell
# VASP energy	-10.84	eV per atom
data_Ce3Pu4Os4
_chemical_formula_sum 'Ce6 Pu8 Os8'
_symmetry_space_group_name_H-M 'I m m m'
_symmetry_Int_Tables_number 71
_symmetry_space_group_name_Hall '-I 2 2'
_cell_length_a 3.276
_cell_length_b 10.242
_cell_length_c 13.320
_cell_angle_alpha 90.00
_cell_angle_beta 90.00
_cell_angle_gamma 90.00
loop_
_atom_site_label
_atom_site_fract_x
_atom_site_fract_y
_atom_site_fract_z
Ce1 0.000 0.000 0.000
Ce2 0.000 0.500 0.106
Pu1 0.000 0.277 0.310
Os1 0.000 0.000 0.202
Os2 0.000 0.222 0.500

=====

(2)
# CePuOs | Alexandria via LeMat-Bulk | PBE | relaxed
# relative energy among the computed polymorphs	139	meV/atom
# energy of formation	0.00	eV/atom
# magnetic moment	24.7	Bohr magnetons per cell
# VASP energy	-10.50	eV per atom
data_CePuOs
_chemical_formula_sum 'Ce4 Pu4 Os4'
_symmetry_space_group_name_H-M 'F -4 3 m'
_symmetry_Int_Tables_number 216
_symmetry_space_group_name_Hall 'F -4 2 3'
_cell_length_a 6.749
_cell_length_b 6.749
_cell_length_c 6.749
_cell_angle_alpha 90.00
_cell_angle_beta 90.00
_cell_angle_gamma 90.00
loop_
_atom_site_label
_atom_site_fract_x
_atom_site_fract_y
_atom_site_fract_z
Ce1 0.000 0.000 0.000
Pu1 0.000 0.000 0.500
Os1 0.250 0.250 0.750

=====

(3)
# Ce3PuOs8 | Alexandria via LeMat-Bulk | PBE | relaxed
# energy of formation	-0.20	eV/atom
# magnetic moment	14.3	Bohr magnetons per cell
# VASP energy	-10.36	eV per atom
data_Ce3PuOs8
_chemical_formula_sum 'Ce9 Pu3 Os24'
_symmetry_space_group_name_H-M 'R 3 m'
_symmetry_Int_Tables_number 160
_symmetry_space_group_name_Hall 'R 3 -2"'
_cell_length_a 5.3816
_cell_length_b 5.3816
_cell_length_c 26.4120
_cell_angle_alpha 90.00
_cell_angle_beta 90.00
_cell_angle_gamma 120.00
loop_
_atom_site_label
_atom_site_fract_x
_atom_site_fract_y
_atom_site_fract_z
Ce1 0.0000 0.0000 0.0000
Ce2 0.0000 0.0000 0.1257
Ce3 0.0000 0.0000 0.6252
Pu1 0.0000 0.0000 0.5012
Os1 0.0000 0.0000 0.3134
Os2 0.0000 0.0000 0.8135
Os3 0.0010 0.5005 0.0638
Os4 0.1674 0.3348 0.8958

=====

Repeat the first record exactly.
# Ce3Pu4Os4 | Alexandria via LeMat-Bulk | PBE | relaxed
# energy of formation	0.07	eV/atom
# magnetic moment	0.0	Bohr magnetons per cell
# VASP energy	-10.84	eV per atom
data_Ce3Pu4Os4
_chemical_formula_sum 'Ce6 Pu8 Os8'
_symmetry_space_group_name_H-M 'I m m m'
_symmetry_Int_Tables_number 71
_symmetry_space_group_name_Hall '-I 2 2'
_cell_length_a 3.276
_cell_length_b 10.242
_cell_length_c 13.320
_cell_angle_alpha 90.00
_cell_angle_beta 90.00
_cell_angle_gamma 90.00
loop_
_atom_site_label
_atom_site_fract_x
_atom_site_fract_y
_atom_site_fract_z
Ce1 0.000 0.000 0.000
Ce2 0.000 0.500 0.106
Pu1 0.000 0.277 0.310
Os1 0.000 0.000 0.202
Os2 0.000 0.222 0.500